(1)
Compound: Sc2TcHOs
Source: Alexandria
Functional: PBE
Structure: optimized geometry

Cell: 4.523 4.523 3.438 Å, 90.00 90.00 90.00°
Space group P4/mmm (No. 123)
Symmetry-distinct sites (fractional):
1 Sc 0.000 0.500 0.000 (multiplicity 2)
2 Tc 0.000 0.000 0.500 (multiplicity 1)
3 H 0.000 0.000 0.000 (multiplicity 1)
4 Os 0.500 0.500 0.500 (multiplicity 1)

ρ, g cm⁻³: 8.95
Spin magnetization, Bohr magnetons per cell: 0.00
Crystal system: tetragonal
Raw total energy, eV per atom: -7.793

---

(2)
Compound: ScTiH2Os
Source: Alexandria
Functional: PBE
Structure: optimized geometry

Cell: 3.696 3.696 4.927 Å, 90.00 90.00 90.00°
Space group P4/mmm (No. 123)
Symmetry-distinct sites (fractional):
1 Sc 0.000 0.000 0.000 (multiplicity 1)
2 Ti 0.500 0.500 0.000 (multiplicity 1)
3 H 0.000 0.500 0.500 (multiplicity 2)
4 Os 0.000 0.000 0.500 (multiplicity 1)

ρ, g cm⁻³: 7.03
Spin magnetization, Bohr magnetons per cell: 0.00
Crystal system: tetragonal
Raw total energy, eV per atom: -5.624

---

(3)
Compound: Sc2TlHOs
Source: Alexandria
Functional: PBE
Structure: optimized geometry

Cell: 5.209 5.209 3.477 Å, 90.00 90.00 90.00°
Space group P4/mmm (No. 123)
Symmetry-distinct sites (fractional):
1 Sc 0.000 0.500 0.000 (multiplicity 2)
2 Tl 0.000 0.000 0.500 (multiplicity 1)
3 H 0.500 0.500 0.500 (multiplicity 1)
4 Os 0.500 0.500 0.000 (multiplicity 1)

ρ, g cm⁻³: 8.55
Spin magnetization, Bohr magnetons per cell: 0.00
Crystal system: tetragonal
Raw total energy, eV per atom: -5.763

---

(4)
Compound: Sc2ZnHOs
Source: Alexandria
Functional: PBE
Structure: optimized geometry

Cell: 4.506 4.506 3.605 Å, 90.00 90.00 90.00°
Space group P4/mmm (No. 123)
Symmetry-distinct sites (fractional):
1 Sc 0.000 0.500 0.000 (multiplicity 2)
2 Zn 0.000 0.000 0.500 (multiplicity 1)
3 H 0.500 0.500 0.000 (multiplicity 1)
4 Os 0.500 0.500 0.500 (multiplicity 1)

ρ, g cm⁻³: 7.86
Spin magnetization, Bohr magnetons per cell: 0.00
Crystal system: tetragonal
Raw total energy, eV per atom: -6.089

---

(5)
Compound: H2OsSe
Source: Alexandria
Functional: PBE
Structure: optimized geometry

Cell: 5.393 5.393 5.393 Å, 90.00 90.00 90.00°
Space group Fm-3m (No. 225)
Symmetry-distinct sites (fractional):
1 H 0.250 0.250 0.250 (multiplicity 8)
2 Os 0.000 0.000 0.000 (multiplicity 4)
3 Se 0.000 0.000 0.500 (multiplicity 4)

ρ, g cm⁻³: 11.48
Spin magnetization, Bohr magnetons per cell: 0.00
Crystal system: cubic
Raw total energy, eV per atom: -4.084

---

(6)
Compound: H3OsSe
Source: Alexandria
Functional: PBE
Structure: optimized geometry

Cell: 3.573 3.573 3.573 Å, 90.00 90.00 90.00°
Space group Pm-3m (No. 221)
Symmetry-distinct sites (fractional):
1 H 0.000 0.000 0.500 (multiplicity 3)
2 Os 0.000 0.000 0.000 (multiplicity 1)
3 Se 0.500 0.500 0.500 (multiplicity 1)

ρ, g cm⁻³: 9.91
Spin magnetization, Bohr magnetons per cell: 0.00
Crystal system: cubic
Raw total energy, eV per atom: -4.195